Record 1
The following is a DFT calculation (PBE) of an optimized crystal structure of LaY2BiB.

Output
The value obtained for the magnetic moment is 0.00 μB/atom. Its crystal system is tetragonal. The calculation puts the formation energy at -443 meV/atom. The calculation puts the calculated total energy at -6.126 eV per atom.

Unit cell a=5.087 b=5.087 c=5.317 alpha=90.00 beta=90.00 gamma=90.00
Sites, in units of the cell vectors:
B 0.000 0.000 0.000
Y 0.500 0.000 0.000
Bi 0.500 0.500 0.500
La 0.000 0.000 0.500
Y 0.000 0.500 0.000



Record 2
The following is a DFT calculation (PBE) of an optimized crystal structure of LaZrBi2B.

Output
The value obtained for the magnetic moment is 0.22 μB/atom. Its crystal system is tetragonal. The calculation puts the formation energy at 1262 meV/atom. The calculation puts the calculated total energy at -4.321 eV per atom.

Unit cell a=5.993 b=4.646 c=5.993 alpha=90.00 beta=90.00 gamma=90.00
Last column: magnetic moment on the atom in μB.
Sites, in units of the cell vectors:
Bi 0.500 0.000 0.000  -0.06
B 0.000 0.500 0.000  0.03
La 0.000 0.000 0.000  -0.01
Bi 0.000 0.000 0.500  -0.11
Zr 0.500 0.500 0.500  0.83



Record 3
The following is a DFT calculation (PBE) of an optimized crystal structure of LiBiB3.

Output
The value obtained for the magnetic moment is 0.00 μB/atom. Its crystal system is cubic. The calculation puts the formation energy at 1862 meV/atom. The calculation puts the calculated total energy at -3.304 eV per atom. The energy above the most stable polymorph in this dataset comes out at 0.000 eV per atom.

Unit cell a=4.081 b=4.081 c=4.081 alpha=90.00 beta=90.00 gamma=90.00
Sites, in units of the cell vectors:
B 0.000 0.000 0.500
B 0.000 0.500 0.000
Bi 0.500 0.500 0.500
B 0.500 0.000 0.000
Li 0.000 0.000 0.000



Record 4
The following is a DFT calculation (PBE) of an optimized crystal structure of LiBi2B.

Output
The value obtained for the magnetic moment is 0.00 μB/atom. Its crystal system is tetragonal. The calculation puts the formation energy at 483 meV/atom. The calculation puts the calculated total energy at -3.606 eV per atom. The energy above the most stable polymorph in this dataset comes out at 0.000 eV per atom.

Unit cell a=6.410 b=6.410 c=6.792 alpha=61.84 beta=61.84 gamma=90.00
Sites, in units of the cell vectors:
B 0.750 0.250 0.500
Bi 0.069 0.625 0.250
Li 0.500 0.500 0.000
Bi 0.875 0.931 0.750
Li 0.250 0.750 0.500
B 0.000 0.000 0.000
Bi 0.375 0.319 0.750
Bi 0.681 0.125 0.250



Which value of magnetic moment does entry 2 give? 0.22 μB/atom



What is the formula in the third record? LiBiB3



What did the third record say?
The following is a DFT calculation (PBE) of an optimized crystal structure of LiBiB3.

Output
The value obtained for the magnetic moment is 0.00 μB/atom. Its crystal system is cubic. The calculation puts the formation energy at 1862 meV/atom. The calculation puts the calculated total energy at -3.304 eV per atom. The energy above the most stable polymorph in this dataset comes out at 0.000 eV per atom.

Unit cell a=4.081 b=4.081 c=4.081 alpha=90.00 beta=90.00 gamma=90.00
Sites, in units of the cell vectors:
B 0.000 0.000 0.500
B 0.000 0.500 0.000
Bi 0.500 0.500 0.500
B 0.500 0.000 0.000
Li 0.000 0.000 0.000



Among the records above, which one has the lowest calculated total energy? LaY2BiB